VASP calculation (PBE+U) on a relaxed structure of LiVRhO4.

Properties
The calculation puts the magnetization at 1.00 μB per formula unit. The value obtained for the total energy is -6.702 eV/atom.

Unit cell a=5.1830 b=5.1830 c=6.3023 alpha=90.00 beta=90.00 gamma=114.59
Atoms (fractional coordinates):
Li 0.1539 0.8461 0.7500
Li 0.8461 0.1539 0.2500
V 0.1632 0.8368 0.2500
V 0.8368 0.1632 0.7500
Rh 0.5000 0.5000 0.0000
Rh 0.5000 0.5000 0.5000
O 0.2429 0.2641 0.7500
O 0.2641 0.2429 0.2500
O 0.2662 0.7338 0.0102
O 0.2662 0.7338 0.4898
O 0.7338 0.2662 0.5102
O 0.7338 0.2662 0.9898
O 0.7359 0.7571 0.7500
O 0.7571 0.7359 0.2500

=====

VASP calculation (PBE+U) on a relaxed structure of Li2VRh2O6.

Properties
The calculation puts the magnetization at 0.98 μB per formula unit. The value obtained for the total energy is -6.472 eV/atom.

Unit cell a=5.2458 b=5.2458 c=5.2171 alpha=99.56 beta=99.56 gamma=120.70
Atoms (fractional coordinates):
Li 0.1758 0.8242 0.0000
Li 0.8242 0.1758 0.0000
V 0.0000 0.0000 0.5000
Rh 0.3370 0.6630 0.5000
Rh 0.6630 0.3370 0.5000
O 0.0615 0.4002 0.7175
O 0.2268 0.2268 0.2745
O 0.4002 0.0615 0.7175
O 0.5998 0.9385 0.2825
O 0.7732 0.7732 0.7255
O 0.9385 0.5998 0.2825

=====

VASP calculation (PBE+U) on a relaxed structure of LiVRh2O6.

Properties
The calculation puts the magnetization at 1.62 μB per formula unit. The value obtained for the total energy is -6.140 eV/atom.

Unit cell a=5.2519 b=5.2519 c=4.7419 alpha=90.00 beta=90.00 gamma=90.00
Atoms (fractional coordinates):
Li 0.0000 0.0000 0.0000
V 0.5000 0.5000 0.0399
Rh 0.0000 0.5000 0.3490
Rh 0.5000 0.0000 0.3490
O 0.0000 0.0000 0.5875
O 0.2591 0.2591 0.1748
O 0.2591 0.7409 0.1748
O 0.5000 0.5000 0.6930
O 0.7409 0.2591 0.1748
O 0.7409 0.7409 0.1748